This record from Alexandria describes an optimized crystal structure of AcErNi2P2. The functional is PBE.

Cell and atoms, written as POSCAR:
```
AcErNi2P2
1.0
3.978 0.000 0.000
-1.989 3.445 0.000
0.000 0.000 8.125
P Ni Er Ac
2 2 1 1
Direct
0.667 0.333 0.724
0.333 0.667 0.276
0.667 0.333 0.269
0.333 0.667 0.731
0.000 0.000 0.500
0.000 0.000 0.000
```

## Properties
Its crystal system is trigonal. The spin magnetization comes out at 0.00 Bohr magnetons per cell. The energy of formation from the pure elements is -1131 meV/atom. Its symmetry is No. 164.



This record from Alexandria describes an optimized crystal structure of Ac2ErSi3Ni12. The functional is PBE.

Cell and atoms, written as POSCAR:
```
Ac2ErSi3Ni12
1.0
-1.405 -5.704 5.361
3.872 -6.942 0.268
5.074 -2.075 5.762
Ni Ac Er Si
12 2 1 3
Direct
0.877 0.353 0.353
0.123 0.647 0.647
0.156 0.518 0.156
0.353 0.877 0.353
0.482 0.844 0.844
0.647 0.647 0.123
0.647 0.123 0.647
0.353 0.353 0.877
0.518 0.156 0.156
0.844 0.482 0.844
0.156 0.156 0.518
0.844 0.844 0.482
0.395 0.395 0.395
0.605 0.605 0.605
0.000 0.000 0.000
0.000 0.500 0.000
0.500 0.000 0.000
0.000 0.000 0.500
```

## Properties
Its crystal system is trigonal. As for the total energy: -97.669 eV per cell. The spin magnetization comes out at 0.00 Bohr magnetons per cell. Its symmetry is No. 166.



This record from Alexandria describes an optimized crystal structure of AcErSi2Ni2. The functional is PBE.

Cell and atoms, written as POSCAR:
```
AcErSi2Ni2
1.0
4.054 0.000 0.000
-2.027 3.511 0.000
0.000 0.000 8.357
Si Ni Er Ac
2 2 1 1
Direct
0.333 0.667 0.274
0.667 0.333 0.726
0.667 0.333 0.279
0.333 0.667 0.721
0.000 0.000 0.500
0.000 0.000 0.000
```

## Properties
Its crystal system is trigonal. As for the total energy: -35.348 eV per cell. The spin magnetization comes out at 0.00 Bohr magnetons per cell. Its symmetry is No. 164.



This record from Alexandria describes an optimized crystal structure of Ac2ErNi3Sn4. The functional is PBE.

Cell and atoms, written as POSCAR:
```
Ac2ErNi3Sn4
1.0
4.529 0.000 0.000
0.000 4.529 0.000
0.000 0.000 11.778
Ni Sn Er Ac
3 4 1 2
Direct
0.500 0.000 0.884
0.000 0.000 0.500
0.000 0.500 0.116
0.500 0.000 0.662
0.000 0.000 0.000
0.000 0.500 0.338
0.500 0.500 0.000
0.500 0.500 0.500
0.500 0.000 0.230
0.000 0.500 0.770
```

## Properties
Its crystal system is tetragonal. The spin magnetization comes out at 0.00 Bohr magnetons per cell. The energy of formation from the pure elements is -521 meV/atom. Its symmetry is No. 115.



This record from Alexandria describes an optimized crystal structure of AcErZnNi. The functional is PBE.

Cell and atoms, written as POSCAR:
```
AcErZnNi
1.0
-2.715 -4.187 1.247
0.578 -2.153 4.636
-3.778 0.326 3.476
Er Ni Ac Zn
1 1 1 1
Direct
0.000 0.000 0.000
0.750 0.750 0.750
0.500 0.500 0.500
0.250 0.250 0.250
```

## Properties
Its crystal system is cubic. The spin magnetization comes out at 0.00 Bohr magnetons per cell. The energy of formation from the pure elements is -193 meV/atom. Its symmetry is No. 216.



This record from Alexandria describes an optimized crystal structure of AcEr2Np. The functional is PBE.

Cell and atoms, written as POSCAR:
```
AcEr2Np
1.0
-0.067 0.965 3.328
-1.700 -1.924 2.328
9.733 -6.885 3.995
Er Ac Np
2 1 1
Direct
0.094 0.094 0.717
0.906 0.906 0.283
0.000 0.000 0.000
0.500 0.500 0.500
```

## Properties
Its crystal system is trigonal. The spin magnetization comes out at 3.94 Bohr magnetons per cell. The energy of formation from the pure elements is 455 meV/atom. Its symmetry is No. 166.



This record from Alexandria describes an optimized crystal structure of AcEr2NpO8. The functional is PBE.

Cell and atoms, written as POSCAR:
```
AcEr2NpO8
1.0
4.004 -0.174 -0.001
-0.183 5.439 -0.006
0.003 0.008 7.562
O Er Ac Np
8 2 1 1
Direct
0.450 0.225 0.000
0.969 0.245 0.789
0.969 0.245 0.211
0.031 0.755 0.789
0.031 0.755 0.211
0.486 0.729 0.500
0.514 0.271 0.500
0.550 0.775 0.000
0.500 0.500 0.747
0.500 0.500 0.253
0.000 0.000 0.500
0.000 0.000 0.000
```

## Properties
Its crystal system is monoclinic. As for the total energy: -103.632 eV per cell. The spin magnetization comes out at 0.00 Bohr magnetons per cell. Its symmetry is No. 10.



This record from Alexandria describes an optimized crystal structure of Ac2ErNpO6. The functional is PBE.

Cell and atoms, written as POSCAR:
```
Ac2ErNpO6
1.0
6.081 0.000 -0.018
0.000 6.258 0.000
0.029 0.000 8.720
O Ac Er Np
12 4 2 2
Direct
0.620 0.052 0.245
0.702 0.306 0.564
0.798 0.806 0.936
0.202 0.194 0.064
0.298 0.694 0.436
0.692 0.298 0.936
0.880 0.552 0.255
0.380 0.948 0.755
0.192 0.202 0.436
0.808 0.798 0.564
0.308 0.702 0.064
0.120 0.448 0.745
0.014 0.950 0.250
0.486 0.450 0.250
0.986 0.050 0.750
0.514 0.550 0.750
0.500 0.000 0.000
0.000 0.500 0.500
0.500 0.000 0.500
0.000 0.500 0.000
```

## Properties
Its crystal system is monoclinic. As for the total energy: -174.866 eV per cell. The spin magnetization comes out at 7.99 Bohr magnetons per cell. Its symmetry is No. 14.